HgIrWO6: optimized geometry, PBE+U.

Output
electronic total energy	-6.19	eV per atom

a b c (Å): 7.354 7.175 7.322
angles (deg): 119.34 120.14 90.00
Sites, in units of the cell vectors:
O1 0.815 0.072 0.257
O2 0.811 0.061 0.621
O3 0.432 0.682 0.865
O4 0.558 0.315 0.743
O5 0.442 0.685 0.257
O6 0.189 0.939 0.379
O7 0.568 0.318 0.135
O8 0.185 0.315 0.743
O9 0.442 0.072 0.257
O10 0.185 0.928 0.743
O11 0.558 0.928 0.743
O12 0.815 0.685 0.257
Hg1 0.192 0.442 0.383
Hg2 0.808 0.558 0.617
W1 0.000 0.000 0.500
W2 0.500 0.000 0.500
Ir1 0.500 0.500 0.000
Ir2 0.500 0.000 0.000